Computed, not measured: a geometry-optimized Sc3Te2As structure at the GGA-PBE level of DFT.

Summary:
Energy relative to the lowest polymorph listed for this composition ... 18 meV/atom
Spin magnetization ... 0.00 μB per atom
Formation energy (no corrections) ... -1.236 eV/atom

Unit cell a=7.0622 b=7.0622 c=7.0110 alpha=99.87 beta=99.87 gamma=119.23
Closest atoms and distances in Å follow each position.
Element x y z (fractional)
1 Sc 0.0000 0.5000 0.0000  2 As 2.80, 4 Te 2.90-2.91
2 Sc 0.1349 0.2773 0.4916  2 As 2.70-2.71, 2 Te 2.91-2.95
3 Sc 0.2773 0.1349 0.9916  2 As 2.70-2.71, 2 Te 2.91-2.95
4 Sc 0.5000 0.0000 0.5000  2 As 2.80, 4 Te 2.90-2.91
5 Sc 0.7227 0.8651 0.0084  2 As 2.70-2.71, 2 Te 2.91-2.95
6 Sc 0.8651 0.7227 0.5084  2 As 2.70-2.71, 2 Te 2.91-2.95
7 Te 0.2607 0.7393 0.7500  6 Sc 2.90-3.05
8 Te 0.4208 0.5792 0.2500  6 Sc 2.91-3.11
9 Te 0.5792 0.4208 0.7500  6 Sc 2.91-3.11
10 Te 0.7393 0.2607 0.2500  6 Sc 2.90-3.05
11 As 0.0921 0.9079 0.2500  6 Sc 2.70-2.80
12 As 0.9079 0.0921 0.7500  6 Sc 2.70-2.80


Computed, not measured: a geometry-optimized ScTeAs2 structure at the GGA-PBE level of DFT.

Summary:
Spin magnetization ... 0.00 μB per atom
Formation energy (no corrections) ... -0.443 eV/atom

Unit cell a=3.9155 b=3.9155 c=6.1919 alpha=90.00 beta=90.00 gamma=90.00
Closest atoms and distances in Å follow each position.
Element x y z (fractional)
1 Sc 0.0000 0.0000 0.0000  1 As 2.65, 4 Te 2.94
2 Te 0.5000 0.5000 0.1574  4 Sc 2.94, 2 As 3.02-3.17
3 As 0.0000 0.0000 0.5723  1 Sc 2.65, 4 As 2.81
4 As 0.5000 0.5000 0.6451  4 As 2.81, 1 Te 3.02


Among the records above, which one has the highest formation energy (no corrections)? ScTeAs2


What did the first record say?
Computed, not measured: a geometry-optimized Sc3Te2As structure at the GGA-PBE level of DFT.

Summary:
Energy relative to the lowest polymorph listed for this composition ... 18 meV/atom
Spin magnetization ... 0.00 μB per atom
Formation energy (no corrections) ... -1.236 eV/atom

Unit cell a=7.0622 b=7.0622 c=7.0110 alpha=99.87 beta=99.87 gamma=119.23
Closest atoms and distances in Å follow each position.
Element x y z (fractional)
1 Sc 0.0000 0.5000 0.0000  2 As 2.80, 4 Te 2.90-2.91
2 Sc 0.1349 0.2773 0.4916  2 As 2.70-2.71, 2 Te 2.91-2.95
3 Sc 0.2773 0.1349 0.9916  2 As 2.70-2.71, 2 Te 2.91-2.95
4 Sc 0.5000 0.0000 0.5000  2 As 2.80, 4 Te 2.90-2.91
5 Sc 0.7227 0.8651 0.0084  2 As 2.70-2.71, 2 Te 2.91-2.95
6 Sc 0.8651 0.7227 0.5084  2 As 2.70-2.71, 2 Te 2.91-2.95
7 Te 0.2607 0.7393 0.7500  6 Sc 2.90-3.05
8 Te 0.4208 0.5792 0.2500  6 Sc 2.91-3.11
9 Te 0.5792 0.4208 0.7500  6 Sc 2.91-3.11
10 Te 0.7393 0.2607 0.2500  6 Sc 2.90-3.05
11 As 0.0921 0.9079 0.2500  6 Sc 2.70-2.80
12 As 0.9079 0.0921 0.7500  6 Sc 2.70-2.80